(1)
The following is a DFT calculation (PBE) of crystalline KZr2V at its relaxed geometry.

It has space group I4_1/amd (No. 141, origin choice 2), with a = 7.6163 Å, b = 7.6163 Å, c = 10.8414 Å, α = 90.00°, β = 90.00° and γ = 90.00°. The asymmetric unit holds K at (0.0000, 0.2500, 0.3750), Zr at (0.0000, 0.0000, 0.0000) and V at (0.0000, 0.2500, 0.8750).

The calculation puts the excess energy over the best structure of this formula in the dataset at 0.255 eV per atom. The energy relative to the elements comes out at 512 kJ/mol of formula units. The total energy is -88.00 eV/cell.

---

(2)
The following is a DFT calculation (PBE) of crystalline K2ZrV at its relaxed geometry.

It has space group Fm-3m (No. 225), with a = 8.1912 Å, b = 8.1912 Å, c = 8.1912 Å, α = 90.00°, β = 90.00° and γ = 90.00°. The asymmetric unit holds K at (0.2500, 0.2500, 0.2500), Zr at (0.0000, 0.0000, 0.0000) and V at (0.0000, 0.0000, 0.5000).

The calculation puts the excess energy over the best structure of this formula in the dataset at 0.324 eV per atom. The energy relative to the elements comes out at 655 kJ/mol of formula units. The total energy is -52.28 eV/cell.